# La4MgPt | the Alexandria database | PBE | optimized geometry
# - ΔE to the lowest computed polymorph: 0 meV per atom
# - Energy relative to the elements: -0.48 eV per atom
# - Density of states at the Fermi level: 1.09 states/eV/atom
# - Mass density: 6.732 g/cm3
# - Electronic total energy: -5.04 eV per atom
data_La4MgPt
_cell_length_a 14.5159
_cell_length_b 14.5159
_cell_length_c 14.5159
_cell_angle_alpha 90.00
_cell_angle_beta 90.00
_cell_angle_gamma 90.00
_space_group_name_H-M_alt 'F -4 3 m'
_space_group_IT_number 216
_space_group_name_Hall 'F -4 2 3'
loop_
_atom_site_label
_atom_site_fract_x
_atom_site_fract_y
_atom_site_fract_z
_atom_site_occupancy
La1 0.0000 0.0000 0.1864 1
La2 0.0588 0.2500 0.7500 1
La3 0.0980 0.0980 0.4020 1
Mg1 0.1712 0.1712 0.1712 1
Pt1 0.1072 0.1072 0.6072 1